5
Lattice="5.116 0.000 0.000 0.000 5.116 0.000 0.000 0.000 5.116" Properties=species:S:1:pos:R:3 comment="MnCd3P, optimized geometry, DFT PBE-GGA" relative_energy_mev_per_atom=0 volume_a3_per_atom=26.8 formation_energy_mev_per_atom=702.1 spacegroup=Pm-3m rho_g_cm3=5.25 dos_ef_per_ev_atom=0.49 pbc="T T T"
Mn 0.000 0.000 0.000
Cd 0.000 2.558 2.558
Cd 2.558 0.000 2.558
Cd 2.558 2.558 0.000
P 2.558 2.558 2.558